(1)
Pu2HPb | GGA-PBE | relaxed

Computed properties:
V = 18.11 Å³/atom
Calculated total energy = -9.002 eV/atom
Relative energy among the computed polymorphs = 124.7 meV/atom
DOS at the Fermi energy = 2.04 states/eV per atom
M_tot = 0.68 μB/f.u.

Unit cell a=7.079 b=7.079 c=7.079 alpha=28.72 beta=28.72 gamma=28.72
Atoms (fractional coordinates):
Pu: 0.000 0.000 0.000
Pu: 0.268 0.268 0.268
H: 0.709 0.709 0.709
Pb: 0.472 0.472 0.472

(2)
SrBeHg2 | GGA-PBE | relaxed

Computed properties:
V = 29.37 Å³/atom
Calculated total energy = -1.463 eV/atom
DOS at the Fermi energy = 0.29 states/eV per atom
M_tot = 0.00 μB/f.u.

Unit cell a=8.653 b=8.653 c=8.653 alpha=142.83 beta=142.83 gamma=53.58
Atoms (fractional coordinates):
Sr: 0.000 0.000 0.000
Sr: 0.750 0.250 0.500
Be: 0.250 0.750 0.500
Be: 0.500 0.500 0.000
Hg: 0.295 0.625 0.170
Hg: 0.375 0.545 0.670
Hg: 0.455 0.125 0.830
Hg: 0.875 0.705 0.330